DFT (PBE) results for an optimized crystal structure of Tl3In3Hg8.

Values from the calculation:
Crystal system: triclinic
Energy of formation from the pure elements: 4 meV per atom
DFT total energy: -17.679 eV for the cell shown
Space group: P-1
Volume: 395.49 Å³ per cell
Energy relative to the lowest polymorph listed for this composition: 0.0 meV per atom

Lattice parameters (Å, degrees): 5.2404 10.9577 10.3063 54.79 69.50 54.91
Element x y z (fractional)
1 In 0.0000 0.5000 0.5000
2 In 0.3230 0.2987 0.0954
3 In 0.6770 0.7013 0.9046
4 Hg 0.5925 0.0614 0.7754
5 Hg 0.8756 0.3736 0.8995
6 Hg 0.8398 0.8534 0.4401
7 Hg 0.1602 0.1466 0.5599
8 Hg 0.5387 0.5886 0.2958
9 Hg 0.1244 0.6264 0.1005
10 Hg 0.4075 0.9386 0.2246
11 Hg 0.4613 0.4114 0.7042
12 Tl 0.7332 0.2234 0.3365
13 Tl 0.0000 0.0000 0.0000
14 Tl 0.2668 0.7766 0.6635

=====

DFT (PBE) results for an optimized crystal structure of CaCe2In2Ag2.

Values from the calculation:
Crystal system: trigonal
Energy of formation from the pure elements: -228 meV per atom
DFT total energy: -26.645 eV for the cell shown
Space group: R-3m
Volume: 179.69 Å³ per cell

Lattice parameters (Å, degrees): 4.7736 4.7736 9.5134 75.47 75.47 60.00
Last column: magnetic moment on the atom in μB.
Element x y z (fractional)
1 Ca 0.0000 0.0000 0.0000  -0.01
2 Ce 0.8587 0.8587 0.4240  0.60
3 Ce 0.1413 0.1413 0.5760  0.60
4 In 0.2629 0.2629 0.2112  -0.02
5 In 0.7371 0.7371 0.7888  -0.02
6 Ag 0.5838 0.5838 0.2485  -0.01
7 Ag 0.4162 0.4162 0.7515  -0.01

=====

DFT (PBE) results for an optimized crystal structure of Li3ZrNp2S6.

Values from the calculation:
Crystal system: monoclinic
Uncorrected formation energy: -1414 meV per atom
DFT total energy: -81.904 eV for the cell shown
Space group: C2/m
Volume: 235.69 Å³ per cell

Lattice parameters (Å, degrees): 6.6324 6.6324 6.5694 99.65 99.65 120.03
Last column: magnetic moment on the atom in μB.
Element x y z (fractional)
1 Li 0.1618 0.8382 0.5000  0.00
2 Li 0.5000 0.5000 0.5000  0.00
3 Li 0.8382 0.1618 0.5000  0.00
4 S 0.5944 0.9154 0.7466  -0.06
5 S 0.2389 0.2389 0.7498  -0.06
6 S 0.0846 0.4056 0.2534  -0.06
7 S 0.4056 0.0846 0.2534  -0.06
8 S 0.9154 0.5944 0.7466  -0.06
9 S 0.7611 0.7611 0.2502  -0.06
10 Np 0.3326 0.6674 0.0000  3.89
11 Np 0.6674 0.3326 0.0000  3.89
12 Zr 0.0000 0.0000 0.0000  0.52